1.
{"formula": "H2RuPt", "functional": "PBE", "state": "relaxed", "lattice": [[2.867, 0.000, 0.000], [1.434, 2.483, 0.000], [1.434, 0.828, 5.046]], "species": ["Pt", "Ru", "H", "H"], "fractional_positions": [[0.494, 0.494, 0.517], [0.669, 0.669, 0.992], [0.057, 0.057, 0.829], [0.279, 0.279, 0.162]], "de_polymorph_ev_per_atom": 0.000}



2.
{"formula": "LaV2SbS", "functional": "PBE", "state": "relaxed", "lattice": [[5.026, 0.000, 0.000], [0.000, 5.578, 0.000], [0.000, 0.000, 5.026]], "species": ["V", "La", "V", "S", "Sb"], "fractional_positions": [[0.500, 0.000, 0.000], [0.500, 0.500, 0.500], [0.000, 0.000, 0.500], [0.000, 0.500, 0.000], [0.000, 0.000, 0.000]], "formation_energy_uncorrected_mev_per_atom": 587}



3.
{"formula": "Tl2FeAg", "functional": "PBE", "state": "relaxed", "lattice": [[9.877, -0.025, -0.015], [9.360, 3.152, -0.015], [9.360, 1.521, 2.760]], "species": ["Tl", "Fe", "Tl", "Ag"], "fractional_positions": [[0.755, 0.755, 0.755], [0.245, 0.245, 0.245], [0.989, 0.989, 0.989], [0.511, 0.511, 0.511]], "delta_e_f_mev_per_atom": 488.9, "de_polymorph_ev_per_atom": 0.078}



4.
{"formula": "Ca4Tl5Pt2", "functional": "PBE", "state": "relaxed", "lattice": [[3.843, 0.000, 0.000], [0.000, 7.952, 0.039], [0.000, -0.722, 9.799]], "species": ["Tl", "Pt", "Pt", "Tl", "Tl", "Ca", "Ca", "Ca", "Ca", "Tl", "Tl"], "fractional_positions": [[0.000, 0.446, 0.665], [0.000, 0.076, 0.636], [0.000, 0.924, 0.364], [0.000, 0.554, 0.335], [0.000, 0.500, 0.000], [0.500, 0.815, 0.153], [0.500, 0.185, 0.847], [0.500, 0.788, 0.566], [0.500, 0.212, 0.434], [0.000, 0.159, 0.143], [0.000, 0.841, 0.857]], "delta_e_f_mev_per_atom": -501.6}



5.
{"formula": "NaHg2Au2", "functional": "PBE", "state": "relaxed", "lattice": [[4.359, 0.000, 0.000], [0.000, 4.359, 0.000], [2.180, 2.180, 6.539]], "species": ["Hg", "Au", "Na", "Au", "Hg"], "fractional_positions": [[0.750, 0.250, 0.500], [0.398, 0.398, 0.203], [0.000, 0.000, 0.000], [0.602, 0.602, 0.797], [0.250, 0.750, 0.500]], "delta_e_f_mev_per_atom": -117.9, "de_polymorph_ev_per_atom": 0.056}



6.
{"formula": "LiTc2PtN", "functional": "PBE", "state": "relaxed", "lattice": [[-2.105, -3.088, 1.326], [1.479, 0.554, 3.638], [-3.087, 2.480, 0.877]], "species": ["Li", "Pt", "N", "Tc", "Tc"], "fractional_positions": [[0.000, 0.000, 0.500], [0.500, 0.500, 0.500], [0.000, 0.000, 0.000], [0.000, 0.500, 0.000], [0.500, 0.000, 0.000]], "formation_energy_uncorrected_mev_per_atom": -169}



7.
{"formula": "PmThHg4", "functional": "PBE", "state": "relaxed", "lattice": [[4.010, 0.000, -0.453], [0.000, 5.305, -0.009], [-1.169, 0.013, 7.624]], "species": ["Pm", "Hg", "Hg", "Th", "Hg", "Hg"], "fractional_positions": [[0.857, 0.997, 0.460], [0.187, 0.997, 0.119], [0.318, 0.497, 0.382], [0.645, 0.497, 0.037], [0.522, 0.997, 0.788], [0.978, 0.497, 0.703]], "delta_e_f_mev_per_atom": -301.5, "de_polymorph_ev_per_atom": 0.036}



8.
{"formula": "Pm2Dy2Sn3", "functional": "PBE", "state": "relaxed", "lattice": [[-0.680, 1.833, -4.630], [-7.336, -4.535, -0.718], [-1.598, 3.655, 4.410]], "species": ["Pm", "Sn", "Pm", "Dy", "Sn", "Dy", "Sn"], "fractional_positions": [[0.872, 0.649, 0.744], [0.801, 0.279, 0.602], [0.128, 0.351, 0.256], [0.645, 0.926, 0.290], [0.199, 0.721, 0.398], [0.355, 0.074, 0.710], [0.000, 0.000, 0.000]], "delta_e_f_mev_per_atom": -527.2}



9.
{"formula": "Zn2CrIr2", "functional": "PBE", "state": "relaxed", "lattice": [[7.097, 0.000, 0.000], [0.000, 7.097, 0.000], [0.000, 0.000, 2.915]], "species": ["Ir", "Ir", "Zn", "Zn", "Ir", "Cr", "Ir", "Cr", "Zn", "Zn"], "fractional_positions": [[0.822, 0.322, 0.500], [0.678, 0.822, 0.500], [0.878, 0.622, 0.000], [0.378, 0.878, 0.000], [0.178, 0.678, 0.500], [0.000, 0.000, 0.000], [0.322, 0.178, 0.500], [0.500, 0.500, 0.000], [0.122, 0.378, 0.000], [0.622, 0.122, 0.000]], "delta_e_f_mev_per_atom": 95.5, "de_polymorph_ev_per_atom": 0.295}



10.
{"formula": "Y2PuPd9", "functional": "PBE", "state": "relaxed", "lattice": [[4.132, 0.000, 0.000], [0.000, 4.132, 0.000], [0.000, 0.000, 12.433]], "species": ["Pd", "Y", "Pd", "Pd", "Pu", "Pd", "Pd", "Pd", "Pd", "Pd", "Pd", "Y"], "fractional_positions": [[0.500, 0.000, 0.836], [0.000, 0.000, 0.335], [0.000, 0.500, 0.836], [0.500, 0.500, 0.333], [0.000, 0.000, 0.000], [0.500, 0.500, 0.000], [0.500, 0.500, 0.667], [0.500, 0.000, 0.164], [0.500, 0.000, 0.500], [0.000, 0.500, 0.500], [0.000, 0.500, 0.164], [0.000, 0.000, 0.665]], "delta_e_f_mev_per_atom": -754.0}



11.
{"formula": "Sb2PbSe", "functional": "PBE", "state": "relaxed", "lattice": [[8.141, -0.019, -0.012], [6.991, 4.171, -0.012], [6.991, 1.918, 3.704]], "species": ["Se", "Sb", "Sb", "Pb"], "fractional_positions": [[0.493, 0.493, 0.493], [0.988, 0.988, 0.988], [0.255, 0.255, 0.255], [0.763, 0.763, 0.763]], "formation_energy_uncorrected_mev_per_atom": -218, "de_polymorph_ev_per_atom": 0.000}



12.
{"formula": "Dy3Tm2Ni2", "functional": "PBE", "state": "relaxed", "lattice": [[-0.072, 1.943, 3.011], [-5.978, -1.400, -1.373], [4.521, -6.381, 4.227]], "species": ["Dy", "Ni", "Ni", "Dy", "Tm", "Dy", "Tm"], "fractional_positions": [[0.500, 0.000, 0.000], [0.825, 0.649, 0.763], [0.175, 0.351, 0.237], [0.615, 0.230, 0.434], [0.168, 0.335, 0.812], [0.385, 0.770, 0.566], [0.832, 0.665, 0.188]], "delta_e_f_mev_per_atom": -262.5}



| no. | DFT total energy (eV per atom) | theoretical density (g/cm3) |
| --- | --- | --- |
| 1 | -5.318 | 13.782 |
| 2 | -5.696 | 4.651 |
| 3 | -3.523 | 10.925 |
| 4 | -3.403 | 8.717 |
| 5 | -1.813 | 10.933 |
| 6 | -7.571 | 10.727 |
| 7 | -2.531 | 12.287 |
| 8 | -4.915 | 6.983 |
| 9 | -5.883 | 12.829 |
| 10 | -6.920 | 10.793 |
| 11 | -4.077 | 6.945 |
| 12 | -5.164 | 9.102 |